Material: GdLuSiPd
Method: DFT, PBE
State: relaxed

```
GdLuSiPd
1.0
-3.1570 -3.7971 -0.2470
-0.3903 -3.1416 3.7979
-4.0803 -0.0082 2.7923
Gd Si Pd Lu
1 1 1 1
direct
0.5000 0.5000 0.5000
0.2500 0.2500 0.2500
0.7500 0.7500 0.7500
0.0000 0.0000 0.0000
```

Summary:
For the total magnetization, the calculation gives 7.084 μB/f.u. Its total energy is -8.034 eV/atom.